[1]
TiIr after structural relaxation. Source: Alexandria, functional PBE.

Cell: 5.646 5.646 5.646 Å, 90.00 90.00 90.00°
Fractional coordinates of all 8 atoms:
Ti: 0.250 0.250 0.250
Ti: 0.250 0.750 0.750
Ti: 0.750 0.250 0.750
Ti: 0.750 0.750 0.250
Ir: 0.000 0.000 0.000
Ir: 0.000 0.500 0.500
Ir: 0.500 0.000 0.500
Ir: 0.500 0.500 0.000

Results
Crystal system: cubic
DFT total energy: -8.058 eV/atom
Spin magnetization: 0.000 μB per atom
E_form: 0.6 eV per formula unit

=====

[2]
TiIr after structural relaxation. Source: Alexandria, functional PBE.

Cell: 11.764 11.764 2.975 Å, 90.00 90.00 90.00°
Fractional coordinates of all 16 atoms:
Ti: 0.469 0.845 0.000
Ti: 0.531 0.155 0.000
Ti: 0.155 0.469 0.000
Ti: 0.845 0.531 0.000
Ti: 0.969 0.345 0.500
Ti: 0.031 0.655 0.500
Ti: 0.655 0.969 0.500
Ti: 0.345 0.031 0.500
Ir: 0.328 0.196 0.000
Ir: 0.672 0.804 0.000
Ir: 0.804 0.328 0.000
Ir: 0.196 0.672 0.000
Ir: 0.828 0.696 0.500
Ir: 0.172 0.304 0.500
Ir: 0.304 0.828 0.500
Ir: 0.696 0.172 0.500

Results
Crystal system: tetragonal
DFT total energy: -8.326 eV/atom
Spin magnetization: 0.000 μB per atom
E_form: 0.1 eV per formula unit